# LaMoN2O, single point on PBEsol structure, DFT SCAN
# Mass density ... 5.750 g cm⁻³
# Formation energy without anion corrections ... 0.89 eV/atom
# DOS(E_F) ... 0.619 states/eV per atom
# VASP energy ... -98.35 eV/cell
data_LaMoN2O
_cell_length_a 4.357
_cell_length_b 4.357
_cell_length_c 4.243
_cell_angle_alpha 90.00
_cell_angle_beta 90.00
_cell_angle_gamma 90.00
_space_group_name_H-M_alt 'P 4/m m m'
_space_group_IT_number 123
_space_group_name_Hall '-P 4 2'
loop_
_atom_site_label
_atom_site_fract_x
_atom_site_fract_y
_atom_site_fract_z
La1 0.000 0.000 0.000
Mo1 0.500 0.500 0.500
N1 0.000 0.500 0.000
O1 0.000 0.000 0.500

=====

# NaLaMo2, single point on PBEsol structure, DFT SCAN
# Mass density ... 7.708 g cm⁻³
# DOS(E_F) ... 1.236 states/eV per atom
# VASP energy ... -444.90 eV/cell
data_NaLaMo2
_cell_length_a 6.730
_cell_length_b 6.730
_cell_length_c 6.730
_cell_angle_alpha 90.00
_cell_angle_beta 90.00
_cell_angle_gamma 90.00
_space_group_name_H-M_alt 'F m -3 m'
_space_group_IT_number 225
_space_group_name_Hall '-F 4 2 3'
loop_
_atom_site_label
_atom_site_fract_x
_atom_site_fract_y
_atom_site_fract_z
Na1 0.000 0.000 0.000
La1 0.000 0.000 0.500
Mo1 0.250 0.250 0.250

=====

# NaLa3Mo, single point on PBEsol structure, DFT SCAN
# Mass density ... 5.262 g cm⁻³
# DOS(E_F) ... 0.959 states/eV per atom
# VASP energy ... -167.06 eV/cell
data_NaLa3Mo
_cell_length_a 5.529
_cell_length_b 5.529
_cell_length_c 5.529
_cell_angle_alpha 90.00
_cell_angle_beta 90.00
_cell_angle_gamma 90.00
_space_group_name_H-M_alt 'P m -3 m'
_space_group_IT_number 221
_space_group_name_Hall '-P 4 2 3'
loop_
_atom_site_label
_atom_site_fract_x
_atom_site_fract_y
_atom_site_fract_z
Na1 0.000 0.000 0.000
La1 0.000 0.500 0.500
Mo1 0.500 0.500 0.500

=====

# LaNb2MoPd, single point on PBEsol structure, DFT SCAN
# Mass density ... 7.549 g cm⁻³
# DOS(E_F) ... 1.115 states/eV per atom
# VASP energy ... -171.89 eV/cell
data_LaNb2MoPd
_cell_length_a 4.902
_cell_length_b 4.902
_cell_length_c 4.825
_cell_angle_alpha 90.00
_cell_angle_beta 90.00
_cell_angle_gamma 90.00
_space_group_name_H-M_alt 'P 4/m m m'
_space_group_IT_number 123
_space_group_name_Hall '-P 4 2'
loop_
_atom_site_label
_atom_site_fract_x
_atom_site_fract_y
_atom_site_fract_z
La1 0.000 0.000 0.000
Nb1 0.000 0.500 0.500
Mo1 0.500 0.500 0.000
Pd1 0.500 0.500 0.500

=====

# Rb2LaNbMo, single point on PBEsol structure, DFT SCAN
# Mass density ... 3.981 g cm⁻³
# DOS(E_F) ... 1.126 states/eV per atom
# VASP energy ... -142.72 eV/cell
data_Rb2LaNbMo
_cell_length_a 6.451
_cell_length_b 6.451
_cell_length_c 4.998
_cell_angle_alpha 90.00
_cell_angle_beta 90.00
_cell_angle_gamma 90.00
_space_group_name_H-M_alt 'P 4/m m m'
_space_group_IT_number 123
_space_group_name_Hall '-P 4 2'
loop_
_atom_site_label
_atom_site_fract_x
_atom_site_fract_y
_atom_site_fract_z
Rb1 0.000 0.500 0.000
La1 0.000 0.000 0.000
Nb1 0.000 0.000 0.500
Mo1 0.500 0.500 0.500

=====

# La2NiMo, single point on PBEsol structure, DFT SCAN
# Mass density ... 8.088 g cm⁻³
# DOS(E_F) ... 1.209 states/eV per atom
# Offset from the most stable computed form ... 0.0 meV/atom
# VASP energy ... -272.63 eV/cell
data_La2NiMo
_cell_length_a 3.438
_cell_length_b 4.720
_cell_length_c 10.942
_cell_angle_alpha 90.00
_cell_angle_beta 90.00
_cell_angle_gamma 90.00
_space_group_name_H-M_alt 'I m m 2'
_space_group_IT_number 44
_space_group_name_Hall 'I 2 -2'
loop_
_atom_site_label
_atom_site_fract_x
_atom_site_fract_y
_atom_site_fract_z
La1 0.000 0.000 0.000
La2 0.000 0.500 0.208
Ni1 0.000 0.000 0.427
Mo1 0.000 0.500 0.776

=====

# LaNiMo, single point on PBEsol structure, DFT SCAN
# Mass density ... 7.699 g cm⁻³
# DOS(E_F) ... 0.808 states/eV per atom
# VASP energy ... -368.79 eV/cell
data_LaNiMo
_cell_length_a 6.327
_cell_length_b 6.327
_cell_length_c 6.327
_cell_angle_alpha 90.00
_cell_angle_beta 90.00
_cell_angle_gamma 90.00
_space_group_name_H-M_alt 'F -4 3 m'
_space_group_IT_number 216
_space_group_name_Hall 'F -4 2 3'
loop_
_atom_site_label
_atom_site_fract_x
_atom_site_fract_y
_atom_site_fract_z
La1 0.000 0.000 0.000
Ni1 0.250 0.250 0.250
Mo1 0.000 0.000 0.500

=====

# La2NiMo, single point on PBEsol structure, DFT SCAN
# Mass density ... 8.667 g cm⁻³
# DOS(E_F) ... 1.227 states/eV per atom
# Offset from the most stable computed form ... 265.4 meV/atom
# VASP energy ... -270.51 eV/cell
data_La2NiMo
_cell_length_a 4.132
_cell_length_b 4.132
_cell_length_c 9.704
_cell_angle_alpha 90.00
_cell_angle_beta 90.00
_cell_angle_gamma 90.00
_space_group_name_H-M_alt 'I -4 m 2'
_space_group_IT_number 119
_space_group_name_Hall 'I -4 -2'
loop_
_atom_site_label
_atom_site_fract_x
_atom_site_fract_y
_atom_site_fract_z
La1 0.000 0.000 0.000
La2 0.000 0.500 0.250
Ni1 0.000 0.500 0.750
Mo1 0.000 0.000 0.500

=====

# La2NiMo, single point on PBEsol structure, DFT SCAN
# Mass density ... 7.808 g cm⁻³
# DOS(E_F) ... 1.398 states/eV per atom
# Offset from the most stable computed form ... 20.4 meV/atom
# VASP energy ... -136.23 eV/cell
data_La2NiMo
_cell_length_a 3.400
_cell_length_b 3.400
_cell_length_c 7.953
_cell_angle_alpha 90.00
_cell_angle_beta 90.00
_cell_angle_gamma 90.00
_space_group_name_H-M_alt 'P 4 m m'
_space_group_IT_number 99
_space_group_name_Hall 'P 4 -2'
loop_
_atom_site_label
_atom_site_fract_x
_atom_site_fract_y
_atom_site_fract_z
La1 0.000 0.000 0.000
La2 0.500 0.500 0.407
Ni1 0.500 0.500 0.777
Mo1 0.000 0.000 0.672

=====

# La4NiMo, single point on PBEsol structure, DFT SCAN
# Mass density ... 7.553 g cm⁻³
# DOS(E_F) ... 1.104 states/eV per atom
# VASP energy ... -867.38 eV/cell
data_La4NiMo
_cell_length_a 8.548
_cell_length_b 8.548
_cell_length_c 8.548
_cell_angle_alpha 90.00
_cell_angle_beta 90.00
_cell_angle_gamma 90.00
_space_group_name_H-M_alt 'F -4 3 m'
_space_group_IT_number 216
_space_group_name_Hall 'F -4 2 3'
loop_
_atom_site_label
_atom_site_fract_x
_atom_site_fract_y
_atom_site_fract_z
La1 0.125 0.125 0.125
Ni1 0.250 0.250 0.750
Mo1 0.000 0.000 0.500

=====

# La3NiMo, single point on PBEsol structure, DFT SCAN
# Mass density ... 6.702 g cm⁻³
# DOS(E_F) ... 1.199 states/eV per atom
# VASP energy ... -177.75 eV/cell
data_La3NiMo
_cell_length_a 5.212
_cell_length_b 5.212
_cell_length_c 5.212
_cell_angle_alpha 90.00
_cell_angle_beta 90.00
_cell_angle_gamma 90.00
_space_group_name_H-M_alt 'P m -3 m'
_space_group_IT_number 221
_space_group_name_Hall '-P 4 2 3'
loop_
_atom_site_label
_atom_site_fract_x
_atom_site_fract_y
_atom_site_fract_z
La1 0.000 0.000 0.500
Ni1 0.000 0.000 0.000
Mo1 0.500 0.500 0.500

=====

# La2Mo2O9, single point on PBEsol structure, DFT SCAN
# Mass density ... 5.527 g cm⁻³
# Formation energy without anion corrections ... -2.65 eV/atom
# DOS(E_F) ... 0.000 states/eV per atom
# VASP energy ... -493.07 eV/cell
data_La2Mo2O9
_cell_length_a 6.795
_cell_length_b 7.155
_cell_length_c 7.826
_cell_angle_alpha 81.12
_cell_angle_beta 80.60
_cell_angle_gamma 82.53
_space_group_name_H-M_alt 'P 1'
_space_group_IT_number 1
_space_group_name_Hall 'P 1'
loop_
_atom_site_label
_atom_site_fract_x
_atom_site_fract_y
_atom_site_fract_z
La1 0.000 0.000 0.000
La2 0.066 0.104 0.550
La3 0.503 0.247 0.753
La4 0.756 0.629 0.404
Mo1 0.233 0.585 0.410
Mo2 0.300 0.508 0.097
Mo3 0.622 0.218 0.279
Mo4 0.923 0.580 0.864
O1 0.009 0.781 0.733
O2 0.045 0.468 0.586
O3 0.072 0.468 0.269
O4 0.086 0.812 0.353
O5 0.150 0.421 0.924
O6 0.235 0.082 0.775
O7 0.302 0.733 0.984
O8 0.371 0.244 0.427
O9 0.402 0.756 0.517
O10 0.420 0.560 0.591
O11 0.456 0.268 0.075
O12 0.498 0.539 0.253
O13 0.692 0.972 0.287
O14 0.708 0.528 0.788
O15 0.740 0.279 0.458
O16 0.810 0.104 0.791
O17 0.816 0.296 0.108
O18 0.843 0.692 0.058